# 1
! CaAlVNi PBE-GGA optimized geometry; values from VASP
&SYSTEM
  ibrav = 0, nat = 12, ntyp = 4
/
ATOMIC_SPECIES
Ni 58.69 Ni.upf
Ca 40.08 Ca.upf
V 50.94 V.upf
Al 26.98 Al.upf
CELL_PARAMETERS angstrom
4.226 0.000 0.000
-2.113 3.660 0.000
0.000 0.000 15.837
ATOMIC_POSITIONS angstrom
Ni 0.000 2.440 14.827
Ni 0.000 0.000 4.269
Ni 2.113 1.220 9.548
Ca 0.000 2.440 6.967
Ca 0.000 0.000 12.246
Ca 2.113 1.220 1.688
V 0.000 0.000 15.305
V 2.113 1.220 4.747
V 0.000 2.440 10.026
Al 0.000 2.440 3.844
Al 2.113 1.220 14.402
Al 0.000 0.000 9.123
! - M_tot: 0.505 μB per atom
! - Calculated volume: 244.9 Å³ per cell
! - Calculated formation energy: 0.022 eV/atom
! - Uncorrected energy: -61.670 eV for the cell shown

# 2
! Re4Tc8Os PBE-GGA optimized geometry; values from VASP
&SYSTEM
  ibrav = 0, nat = 13, ntyp = 3
/
ATOMIC_SPECIES
Tc 98.00 Tc.upf
Re 186.21 Re.upf
Os 190.23 Os.upf
CELL_PARAMETERS angstrom
-6.498 1.629 -5.199
4.258 -7.300 -0.694
0.740 -0.134 5.949
ATOMIC_POSITIONS angstrom
Tc -5.290 -0.163 -3.933
Tc 1.587 -1.865 4.348
Tc -1.574 -1.073 1.631
Tc -3.087 -3.940 -4.292
Tc 0.074 -4.732 -1.576
Tc -1.928 -1.006 -1.243
Tc 0.428 -4.799 1.299
Tc 3.790 -5.642 3.988
Re -3.249 0.815 -2.599
Re 0.000 0.000 0.000
Re 2.129 -3.650 -0.347
Re -1.120 -2.835 -2.947
Os 2.499 -3.717 2.627
! - M_tot: 0.000 μB per atom
! - Calculated volume: 215.6 Å³ per cell
! - Calculated formation energy: 0.451 eV/atom
! - Uncorrected energy: -138.089 eV for the cell shown

# 3
! Ac3Pr4Nd2 PBE-GGA optimized geometry; values from VASP
&SYSTEM
  ibrav = 0, nat = 18, ntyp = 3
/
ATOMIC_SPECIES
Pr 140.91 Pr.upf
Nd 144.24 Nd.upf
Ac 227.00 Ac.upf
CELL_PARAMETERS angstrom
6.113 1.677 1.201
2.245 11.622 0.659
2.245 4.368 10.790
ATOMIC_POSITIONS angstrom
Pr 2.460 9.970 1.390
Pr 5.847 11.336 10.022
Pr 5.087 12.301 3.059
Pr 4.756 6.331 2.628
Pr 8.143 7.697 11.260
Pr 8.904 13.978 8.103
Pr 1.700 3.689 4.546
Pr 5.517 5.366 9.591
Nd 6.266 11.650 6.436
Nd 7.394 8.659 4.295
Nd 3.209 9.008 8.354
Nd 4.338 6.017 6.213
Ac 6.830 8.342 7.897
Ac 2.269 4.005 0.930
Ac 5.325 3.009 4.092
Ac 5.278 14.658 8.558
Ac 8.335 13.663 11.719
Ac 3.773 9.325 4.752
! - M_tot: 0.000 μB per atom
! - Calculated volume: 691.3 Å³ per cell
! - Calculated formation energy: 0.088 eV/atom
! - Uncorrected energy: -80.367 eV for the cell shown

# 4
! CuSb3Pt PBE-GGA optimized geometry; values from VASP
&SYSTEM
  ibrav = 0, nat = 5, ntyp = 3
/
ATOMIC_SPECIES
Sb 121.76 Sb.upf
Cu 63.55 Cu.upf
Pt 195.08 Pt.upf
CELL_PARAMETERS angstrom
-0.402 3.064 3.884
-2.893 -3.306 2.308
4.012 -2.077 2.054
ATOMIC_POSITIONS angstrom
Sb -0.201 1.532 1.942
Sb -1.447 -1.653 1.154
Sb 2.006 -1.039 1.027
Cu 0.000 0.000 0.000
Pt 0.358 -1.160 4.123
! - M_tot: 0.000 μB per atom
! - Calculated volume: 122.2 Å³ per cell
! - Uncorrected energy: -19.283 eV for the cell shown

# 5
! K8Cd PBE-GGA optimized geometry; values from VASP
&SYSTEM
  ibrav = 0, nat = 9, ntyp = 2
/
ATOMIC_SPECIES
Cd 112.41 Cd.upf
K 39.10 K.upf
CELL_PARAMETERS angstrom
-1.218 4.909 0.768
-4.333 3.078 -9.514
-10.200 -0.461 3.808
ATOMIC_POSITIONS angstrom
Cd 0.000 0.000 0.000
K -3.383 1.611 1.374
K -8.035 2.836 3.202
K -5.623 4.150 -1.374
K -10.128 3.375 -3.564
K -1.686 2.635 -2.479
K -3.865 5.352 -6.267
K -8.259 0.710 -0.599
K -6.274 1.907 -5.106
! - M_tot: 0.000 μB per atom
! - Calculated volume: 574.0 Å³ per cell
! - Calculated formation energy: 0.015 eV/atom
! - Uncorrected energy: -9.560 eV for the cell shown

# 6
! NaAuS2N PBE-GGA optimized geometry; values from VASP
&SYSTEM
  ibrav = 0, nat = 5, ntyp = 4
/
ATOMIC_SPECIES
S 32.06 S.upf
Au 196.97 Au.upf
Na 22.99 Na.upf
N 14.01 N.upf
CELL_PARAMETERS angstrom
-2.795 -3.772 2.220
3.623 -3.472 -1.338
1.796 0.606 3.291
ATOMIC_POSITIONS angstrom
S -1.398 -1.886 1.110
S 1.812 -1.736 -0.669
Au 0.000 0.000 0.000
Na 1.312 -3.319 2.087
N 0.898 0.303 1.646
! - M_tot: 0.205 μB per atom
! - Calculated volume: 102.4 Å³ per cell
! - Uncorrected energy: -17.478 eV for the cell shown

# 7
! MgBC2F PBE-GGA optimized geometry; values from VASP
&SYSTEM
  ibrav = 0, nat = 5, ntyp = 4
/
ATOMIC_SPECIES
Mg 24.30 Mg.upf
C 12.01 C.upf
F 19.00 F.upf
B 10.81 B.upf
CELL_PARAMETERS angstrom
-0.342 -3.591 -1.938
3.070 1.527 -3.370
3.133 -1.477 2.185
ATOMIC_POSITIONS angstrom
Mg 0.000 0.000 0.000
C 1.566 -0.739 1.092
C -0.171 -1.795 -0.969
F 2.931 -1.771 -1.562
B 1.535 0.763 -1.685
! - M_tot: 0.220 μB per atom
! - Calculated volume: 80.6 Å³ per cell
! - Uncorrected energy: -14.980 eV for the cell shown

# 8
! Pm5Ni2Ge5 PBE-GGA optimized geometry; values from VASP
&SYSTEM
  ibrav = 0, nat = 12, ntyp = 3
/
ATOMIC_SPECIES
Ge 72.64 Ge.upf
Pm 145.00 Pm.upf
Ni 58.69 Ni.upf
CELL_PARAMETERS angstrom
-4.090 -0.128 -0.984
-0.263 -1.932 -7.651
-2.323 -8.275 1.731
ATOMIC_POSITIONS angstrom
Ge -2.907 -6.916 -5.012
Ge -3.768 -3.419 -1.891
Ge -0.876 -2.893 -4.981
Ge 0.000 0.000 0.000
Ge -5.800 -7.442 -1.923
Pm -4.151 -5.847 0.015
Pm -1.519 -1.277 -2.519
Pm -2.525 -4.488 -6.919
Pm -1.293 -5.103 -2.960
Pm -5.157 -9.058 -4.384
Ni -3.208 -3.147 -4.256
Ni -3.468 -7.188 -2.648
! - M_tot: 0.000 μB per atom
! - Calculated volume: 272.5 Å³ per cell
! - Calculated formation energy: -0.728 eV/atom
! - Uncorrected energy: -67.135 eV for the cell shown

# 9
! KFe2Se PBE-GGA optimized geometry; values from VASP
&SYSTEM
  ibrav = 0, nat = 8, ntyp = 3
/
ATOMIC_SPECIES
Fe 55.84 Fe.upf
K 39.10 K.upf
Se 78.96 Se.upf
CELL_PARAMETERS angstrom
-1.605 -3.928 -2.321
-0.701 -2.219 4.240
-8.806 -0.113 1.243
ATOMIC_POSITIONS angstrom
Fe -7.294 -1.835 0.592
Fe -8.097 -3.799 -0.569
Fe -3.694 -3.743 -1.190
Fe -4.044 -4.852 0.930
K -1.153 -3.074 0.959
K -5.330 -2.703 3.221
Se -5.782 -3.557 -0.059
Se 0.000 0.000 0.000
! - M_tot: 1.212 μB per atom
! - Calculated volume: 192.1 Å³ per cell
! - Uncorrected energy: -40.313 eV for the cell shown

# 10
! Mn3Nb PBE-GGA optimized geometry; values from VASP
&SYSTEM
  ibrav = 0, nat = 12, ntyp = 2
/
ATOMIC_SPECIES
Mn 54.94 Mn.upf
Nb 92.91 Nb.upf
CELL_PARAMETERS angstrom
-0.446 0.156 4.732
-1.113 -3.972 -2.365
8.074 -1.319 -1.583
ATOMIC_POSITIONS angstrom
Mn -0.575 -1.252 2.375
Mn 1.074 -2.567 1.341
Mn 3.480 -2.645 -1.974
Mn 5.225 -2.493 1.733
Mn 7.090 -3.883 -1.592
Mn 1.648 -0.519 2.561
Mn 5.441 -2.569 -0.558
Mn 1.290 -2.642 -0.950
Mn 4.867 -4.616 -1.778
Nb 3.124 -1.071 0.330
Nb 0.000 0.000 0.000
Nb 3.391 -4.064 0.453
! - M_tot: 0.097 μB per atom
! - Calculated volume: 154.0 Å³ per cell
! - Calculated formation energy: -0.060 eV/atom
! - Uncorrected energy: -113.455 eV for the cell shown

# 11
! Hg2TeRh PBE-GGA optimized geometry; values from VASP
&SYSTEM
  ibrav = 0, nat = 4, ntyp = 3
/
ATOMIC_SPECIES
Te 127.60 Te.upf
Hg 200.59 Hg.upf
Rh 102.91 Rh.upf
CELL_PARAMETERS angstrom
1.877 7.534 0.098
-1.877 7.534 0.098
0.000 0.863 3.644
ATOMIC_POSITIONS angstrom
Te 0.000 0.000 0.000
Hg 0.000 10.660 1.252
Hg 0.000 5.271 2.588
Rh 0.000 7.966 1.920
! - M_tot: 0.000 μB per atom
! - Calculated volume: 102.7 Å³ per cell
! - Uncorrected energy: -10.946 eV for the cell shown

# 12
! CaVBSe PBE-GGA optimized geometry; values from VASP
&SYSTEM
  ibrav = 0, nat = 8, ntyp = 4
/
ATOMIC_SPECIES
V 50.94 V.upf
B 10.81 B.upf
Ca 40.08 Ca.upf
Se 78.96 Se.upf
CELL_PARAMETERS angstrom
-2.123 1.987 -1.988
-2.238 0.408 2.798
5.956 9.716 3.348
ATOMIC_POSITIONS angstrom
V 0.687 3.151 2.415
V 3.723 8.798 1.695
B 0.147 4.994 1.713
B 5.306 8.655 2.982
Ca 3.113 5.078 1.750
Ca -2.046 1.418 0.481
Se 0.979 1.597 0.550
Se 1.776 7.653 2.629
! - M_tot: 0.000 μB per atom
! - Calculated volume: 150.9 Å³ per cell
! - Uncorrected energy: -44.034 eV for the cell shown